# 1
## MgZrAs (GGA-PBE)

Data for a relaxed structure of MgZrAs.

a = 6.2165 Å, b = 6.0196 Å, c = 3.3748 Å
α = 77.23°, β = 70.80°, γ = 31.97°
With the nearest neighbours (Å) after each atom.
Element x y z (fractional)
As1 0.0051 0.0051 0.9949  2 Zr 2.66, 2 Mg 2.77
Mg1 0.3468 0.3468 0.6532  2 As 2.77, 2 Zr 3.08
Zr1 0.6481 0.6481 0.3519  2 As 2.66

Results
The formation energy comes out at -36.8 kJ/mol of atoms. Its total moment is 0.00 μB per formula unit. Its density of states at the Fermi level is 1.76 states/eV per cell. As for the crystal system: orthorhombic.

***

# 2
## YHo2Hg (GGA-PBE)

Data for a relaxed structure of YHo2Hg.

a = 6.6865 Å, b = 6.9437 Å, c = 10.0945 Å
α = 90.00°, β = 90.00°, γ = 90.00°
With the nearest neighbours (Å) after each atom.
Element x y z (fractional)
Hg1 0.5544 0.0891 0.7500  4 Ho 3.02-3.10, 2 Y 3.03-3.10
Ho1 0.1886 0.6950 0.4582  2 Hg 3.02-3.10
Ho2 0.8114 0.3050 0.5418  2 Hg 3.02-3.10
Ho3 0.6886 0.8050 0.9582  2 Hg 3.02-3.10
Ho4 0.3114 0.1950 0.0418  2 Hg 3.02-3.10
Ho5 0.6886 0.8050 0.5418  2 Hg 3.02-3.10
Ho6 0.8114 0.3050 0.9582  2 Hg 3.02-3.10
Y1 0.6100 0.4936 0.2500  2 Hg 3.03-3.10
Hg2 0.4456 0.9109 0.2500  4 Ho 3.02-3.10, 2 Y 3.03-3.10
Hg3 0.0544 0.4109 0.2500  4 Ho 3.02-3.10, 2 Y 3.03-3.10
Ho7 0.3114 0.1950 0.4582  2 Hg 3.02-3.10
Ho8 0.1886 0.6950 0.0418  2 Hg 3.02-3.10
Y2 0.3900 0.5064 0.7500  2 Hg 3.03-3.10
Y3 0.8900 0.9936 0.2500  2 Hg 3.03-3.10
Hg4 0.9456 0.5891 0.7500  4 Ho 3.02-3.10, 2 Y 3.03-3.10
Y4 0.1100 0.0064 0.7500  2 Hg 3.03-3.10

Results
The formation energy comes out at -21.2 kJ/mol of atoms. Its total moment is 0.00 μB per formula unit. Its density of states at the Fermi level is 16.57 states/eV per cell. As for the crystal system: orthorhombic.

***

# 3
## La2CoN (GGA-PBE)

Data for a relaxed structure of La2CoN.

a = 3.5883 Å, b = 3.5898 Å, c = 7.0821 Å
α = 79.57°, β = 79.58°, γ = 66.37°
With the nearest neighbours (Å) after each atom.
Element x y z (fractional)
N1 0.4770 0.4353 0.5367  6 La 2.48-2.73
Co1 0.4900 0.4487 0.0370  4 La 2.73-2.81
La1 0.8637 0.8220 0.3242  3 N 2.48-2.65
La2 0.0941 0.0531 0.7640  3 N 2.50-2.73, 2 Co 2.73

Results
Its total moment is 0.25 μB per formula unit. Its density of states at the Fermi level is 1.54 states/eV per cell. As for the crystal system: monoclinic. As for the final energy: -6.787 eV per atom.

***

# 4
## K2TaP (GGA-PBE)

Data for a relaxed structure of K2TaP.

a = 5.2374 Å, b = 5.2374 Å, c = 5.2374 Å
α = 119.91°, β = 119.91°, γ = 90.15°
With the nearest neighbours (Å) after each atom.
Element x y z (fractional)
P1 0.5000 0.5000 0.0000  4 Ta 3.21, 4 K 3.21
K1 0.2500 0.7500 0.5000  4 P 3.21, 4 K 3.21
Ta1 0.7500 0.2500 0.5000  4 K 3.21, 4 P 3.21
K2 0.0000 0.0000 0.0000  4 Ta 3.21, 4 K 3.21

Results
The formation energy comes out at 107.9 kJ/mol of atoms. Its total moment is 3.95 μB per formula unit. Its density of states at the Fermi level is 4.47 states/eV per cell. As for the crystal system: tetragonal.